The following is a DFT calculation (PBE) of a relaxed structure of SbAs2Cl.

Computed properties:
energy above the lowest structure with this stoichiometry: 290.4 meV/atom
raw formation energy: 0.17 eV/atom
total magnetization: 0.00 μB per formula unit
calculated total energy: -3.650 eV per atom

Unit cell a=7.2530 b=7.2530 c=7.2530 alpha=32.33 beta=32.33 gamma=32.33
Closest atoms and distances in Å follow each position.
Fractional coordinates of all 4 atoms:
Sb1 0.0000 0.0000 0.0000  6 As 2.83
As1 0.2557 0.2557 0.2557  3 Sb 2.83, 3 Cl 2.97
As2 0.7443 0.7443 0.7443  3 Sb 2.83, 3 Cl 2.97
Cl1 0.5000 0.5000 0.5000  6 As 2.97